VASP calculation (PBE-GGA) on a relaxed structure of Li2LaGe2.

Formation energy   -2.15 eV per formula unit
Electronic total energy   -4.029 eV/atom

Cell and atoms, written as CIF:
```
data_Li2LaGe2
_chemical_formula_sum 'Li4 La2 Ge4'
_cell_length_a 4.461
_cell_length_b 4.461
_cell_length_c 10.063
_cell_angle_alpha 90.00
_cell_angle_beta 90.00
_cell_angle_gamma 90.00
_symmetry_space_group_name_H-M 'I 4/m m m'
_symmetry_Int_Tables_number 139
_symmetry_space_group_name_Hall '-I 4 2'
loop_
_atom_site_label
_atom_site_fract_x
_atom_site_fract_y
_atom_site_fract_z
_atom_site_occupancy
Li1 0.000 0.000 0.130 1
La1 0.000 0.000 0.500 1
Ge1 0.000 0.500 0.250 1
```



VASP calculation (PBE-GGA) on a relaxed structure of LaZr2Sc.

Formation energy   0.55 eV per formula unit
Electronic total energy   -6.952 eV/atom

Cell and atoms, written as CIF:
```
data_LaZr2Sc
_chemical_formula_sum 'La2 Zr4 Sc2'
_cell_length_a 4.635
_cell_length_b 4.691
_cell_length_c 9.487
_cell_angle_alpha 90.00
_cell_angle_beta 90.00
_cell_angle_gamma 90.00
_symmetry_space_group_name_H-M 'I m m m'
_symmetry_Int_Tables_number 71
_symmetry_space_group_name_Hall '-I 2 2'
loop_
_atom_site_label
_atom_site_fract_x
_atom_site_fract_y
_atom_site_fract_z
_atom_site_occupancy
La1 0.000 0.000 0.000 1
Zr1 0.000 0.500 0.249 1
Sc1 0.000 0.000 0.500 1
```



VASP calculation (PBE-GGA) on a relaxed structure of Tl3In13.

Formation energy   0.27 eV per formula unit
Electronic total energy   -2.652 eV/atom

Cell and atoms, written as CIF:
```
data_Tl3In13
_chemical_formula_sum 'Tl6 In26'
_cell_length_a 8.575
_cell_length_b 10.185
_cell_length_c 10.187
_cell_angle_alpha 90.00
_cell_angle_beta 90.00
_cell_angle_gamma 90.00
_symmetry_space_group_name_H-M 'A m m 2'
_symmetry_Int_Tables_number 38
loop_
_symmetry_equiv_pos_as_xyz
'x,y,z'
'-x,-y,z'
'-x,y,z'
'x,-y,z'
'x,y+1/2,z+1/2'
'-x,-y+1/2,z+1/2'
'-x,y+1/2,z+1/2'
'x,-y+1/2,z+1/2'
loop_
_atom_site_label
_atom_site_fract_x
_atom_site_fract_y
_atom_site_fract_z
_atom_site_occupancy
Tl1 0.000 0.000 0.000 1
Tl2 0.254 0.000 0.253 1
In1 0.000 0.000 0.504 1
In2 0.000 0.246 0.751 1
In3 0.250 0.000 0.749 1
In4 0.253 0.248 0.501 1
In5 0.500 0.000 0.506 1
In6 0.500 0.000 0.995 1
In7 0.500 0.244 0.751 1
```